i.
! Nd5Er2In4 | the Alexandria database | PBE | relaxed; values from VASP
! ρ in g/cm³: 7.8
! D(E_F) in states/eV per cell: 12.9
&SYSTEM
  ibrav = 0, nat = 11, ntyp = 3
/
ATOMIC_SPECIES
Nd 144.24 Nd.upf
Er 167.26 Er.upf
In 114.82 In.upf
CELL_PARAMETERS angstrom
8.807 0.000 0.000
0.000 3.438 0.000
-1.017 0.000 10.703
ATOMIC_POSITIONS crystal
Nd 0.000 0.000 0.000
Nd 0.038 0.000 0.335
Nd 0.343 0.000 0.859
Nd 0.657 0.000 0.141
Nd 0.962 0.000 0.665
Er 0.418 0.000 0.362
Er 0.582 0.000 0.638
In 0.260 0.500 0.576
In 0.299 0.500 0.126
In 0.701 0.500 0.874
In 0.740 0.500 0.424

ii.
! Nd5Er2In4 | the Alexandria database | PBE | relaxed; values from VASP
! ρ in g/cm³: 7.2
! D(E_F) in states/eV per cell: 13.6
&SYSTEM
  ibrav = 0, nat = 11, ntyp = 3
/
ATOMIC_SPECIES
Nd 144.24 Nd.upf
Er 167.26 Er.upf
In 114.82 In.upf
CELL_PARAMETERS angstrom
17.084 -1.760 0.000
17.084 1.760 0.000
-0.170 0.000 5.833
ATOMIC_POSITIONS crystal
Nd 0.000 0.000 0.000
Nd 0.101 0.101 0.013
Nd 0.293 0.293 0.296
Nd 0.707 0.707 0.704
Nd 0.899 0.899 0.987
Er 0.448 0.448 0.486
Er 0.552 0.552 0.514
In 0.132 0.132 0.520
In 0.199 0.199 0.194
In 0.801 0.801 0.806
In 0.868 0.868 0.480

Most stable structure: i

i.
! Nd4ErIn | the Alexandria database | PBE | relaxed; values from VASP
! ρ in g/cm³: 7.3
! D(E_F) in states/eV per cell: 7.6
&SYSTEM
  ibrav = 0, nat = 6, ntyp = 3
/
ATOMIC_SPECIES
Nd 144.24 Nd.upf
Er 167.26 Er.upf
In 114.82 In.upf
CELL_PARAMETERS angstrom
3.649 0.000 0.000
0.000 3.649 0.000
0.000 0.000 14.686
ATOMIC_POSITIONS crystal
Nd 0.000 0.000 0.147
Nd 0.000 0.000 0.853
Nd 0.500 0.500 0.328
Nd 0.500 0.500 0.672
Er 0.000 0.000 0.500
In 0.500 0.500 0.000

ii.
! Nd4ErIn | the Alexandria database | PBE | relaxed; values from VASP
! ρ in g/cm³: 7.2
! D(E_F) in states/eV per cell: 13.6
&SYSTEM
  ibrav = 0, nat = 12, ntyp = 3
/
ATOMIC_SPECIES
Nd 144.24 Nd.upf
Er 167.26 Er.upf
In 114.82 In.upf
CELL_PARAMETERS angstrom
2.855 -10.709 0.000
2.855 10.709 0.000
0.000 0.000 6.485
ATOMIC_POSITIONS crystal
Nd 0.044 0.956 0.500
Nd 0.188 0.812 0.651
Nd 0.249 0.751 0.186
Nd 0.438 0.562 0.318
Nd 0.562 0.438 0.818
Nd 0.751 0.249 0.686
Nd 0.812 0.188 0.151
Nd 0.956 0.044 0.000
Er 0.363 0.637 0.799
Er 0.637 0.363 0.299
In 0.104 0.896 0.052
In 0.896 0.104 0.552

Most stable structure: i